(1)
La2PtF, relaxed, DFT GGA-PBE; total magnetization = 0.000 μB per formula unit; energy = -24.51 eV/f.u.; formation energy without anion corrections = -1684.5 meV/atom; DOS at the Fermi energy = 0.87 states/eV per atom
1.0
-2.9983 2.9983 6.4934
2.9983 -2.9983 6.4934
2.9983 2.9983 -6.4934
La Pt F
4 2 2
direct
0.0865 0.6250 0.9615
0.3750 0.3365 0.4615
0.6635 0.1250 0.0385
0.8750 0.9135 0.5385
0.2500 0.7500 0.5000
0.5000 0.5000 0.0000
0.0000 0.0000 0.0000
0.7500 0.2500 0.5000



(2)
La2PtF, relaxed, DFT GGA-PBE; total magnetization = 0.000 μB per formula unit; energy = -23.93 eV/f.u.; formation energy without anion corrections = -1539.6 meV/atom; DOS at the Fermi energy = 1.32 states/eV per atom
1.0
0.0000 3.5716 3.5716
3.5716 0.0000 3.5716
3.5716 3.5716 0.0000
La Pt F
2 1 1
direct
0.2500 0.2500 0.2500
0.7500 0.7500 0.7500
0.0000 0.0000 0.0000
0.5000 0.5000 0.5000



(3)
La2PtF, relaxed, DFT GGA-PBE; total magnetization = 0.000 μB per formula unit; energy = -24.90 eV/f.u.; formation energy without anion corrections = -1782.5 meV/atom; DOS at the Fermi energy = 1.17 states/eV per atom
1.0
2.0901 1.2067 8.0498
-2.0901 1.2067 8.0498
0.0000 -2.4134 8.0498
La Pt F
2 1 1
direct
0.0000 0.0000 0.0000
0.1940 0.1940 0.1940
0.5906 0.5906 0.5906
0.3679 0.3679 0.3679



(4)
LaPt2F, relaxed, DFT GGA-PBE; total magnetization = 0.000 μB per formula unit; energy = -24.99 eV/f.u.; formation energy without anion corrections = -1528.4 meV/atom; DOS at the Fermi energy = 0.47 states/eV per atom
1.0
-1.8692 1.8692 10.8402
1.8692 -1.8692 10.8402
1.8692 1.8692 -10.8402
La Pt F
2 4 2
direct
0.0000 0.0000 0.0000
0.7500 0.2500 0.5000
0.1285 0.6250 0.0035
0.3750 0.3785 0.5035
0.6215 0.1250 0.9965
0.8750 0.8715 0.4965
0.2500 0.7500 0.5000
0.5000 0.5000 0.0000



(5)
Rb2LaPtF6, relaxed, DFT GGA-PBE; total magnetization = 1.000 μB per formula unit; energy = -49.97 eV/f.u.; formation energy without anion corrections = -2583.9 meV/atom; DOS at the Fermi energy = 0.80 states/eV per atom
1.0
-3.5769 3.5769 4.4028
3.5769 -3.5769 4.4028
3.5769 3.5769 -4.4028
Rb La Pt F
2 1 1 6
direct
0.2500 0.7500 0.5000
0.7500 0.2500 0.5000
0.0000 0.0000 0.0000
0.5000 0.5000 0.0000
0.2257 0.2257 0.4514
0.2257 0.7743 0.0000
0.2665 0.2665 0.0000
0.7335 0.7335 0.0000
0.7743 0.2257 0.0000
0.7743 0.7743 0.5486



(6)
La2RuPtF, relaxed, DFT GGA-PBE; total magnetization = 0.000 μB per formula unit; energy = -28.12 eV/f.u.; formation energy without anion corrections = -214.8 meV/atom; DOS at the Fermi energy = 0.61 states/eV per atom
1.0
5.5668 0.0000 0.0000
0.0000 5.5668 0.0000
0.0000 0.0000 4.1741
La Ru Pt F
2 1 1 1
direct
0.0000 0.5000 0.0000
0.5000 0.0000 0.0000
0.0000 0.0000 0.5000
0.5000 0.5000 0.0000
0.5000 0.5000 0.5000